Entry 1:
A geometry-optimized AgTe2Au structure, computed with GGA-PBE.

The structure belongs to space group Fm-3m (No. 225); the cell edges are 7.238, 7.238 and 7.238 Å and the angles 90.00°, 90.00° and 90.00°. The inequivalent atoms are Ag at (0.000, 0.000, 0.000), Te at (0.250, 0.250, 0.250) and Au at (0.000, 0.000, 0.500).

Its formation energy (no corrections) is 0.33 eV per atom. The calculation puts the offset from the most stable computed form at 0.368 eV/atom. For the magnetic moment, the calculation gives 0.0 μB/f.u. Its total DFT energy (no corrections) is -2.769 eV/atom. For the volume, the calculation gives 23.70 A^3/atom.

Entry 2:
A geometry-optimized AgTeAu2 structure, computed with GGA-PBE.

The structure belongs to space group Fmmm (No. 69); the cell edges are 5.968, 5.990 and 9.071 Å and the angles 90.00°, 90.00° and 90.00°. The inequivalent atoms are Ag at (0.000, 0.000, 0.000), Te at (0.000, 0.000, 0.500) and Au at (0.250, 0.250, 0.250).

Its formation energy (no corrections) is 0.10 eV per atom. For the magnetic moment, the calculation gives 0.0 μB/f.u. Its total DFT energy (no corrections) is -3.035 eV/atom. For the volume, the calculation gives 20.27 A^3/atom.

Entry 3:
A geometry-optimized AgTeAu2 structure, computed with GGA-PBE.

The structure belongs to space group F-43m (No. 216); the cell edges are 6.931, 6.931 and 6.931 Å and the angles 90.00°, 90.00° and 90.00°. The inequivalent atoms are Ag at (0.000, 0.000, 0.000), Te at (0.250, 0.250, 0.750), Au at (0.000, 0.000, 0.500) and Au at (0.250, 0.250, 0.250).

Its formation energy (no corrections) is 0.19 eV per atom. For the magnetic moment, the calculation gives 0.0 μB/f.u. Its total DFT energy (no corrections) is -2.944 eV/atom. For the volume, the calculation gives 20.81 A^3/atom.

Entry 4:
A geometry-optimized AgTeAu2 structure, computed with GGA-PBE.

The structure belongs to space group P4/mmm (No. 123); the cell edges are 2.992, 2.992 and 9.423 Å and the angles 90.00°, 90.00° and 90.00°. The inequivalent atoms are Ag at (0.000, 0.000, 0.000), Te at (0.000, 0.000, 0.500) and Au at (0.500, 0.500, 0.216).

Its formation energy (no corrections) is 0.16 eV per atom. For the magnetic moment, the calculation gives 0.0 μB/f.u. Its total DFT energy (no corrections) is -2.982 eV/atom. For the volume, the calculation gives 21.10 A^3/atom.

Entry 5:
A geometry-optimized AgTe2Au structure, computed with GGA-PBE.

The structure belongs to space group C2/m (No. 12); the cell edges are 6.142, 8.186 and 5.105 Å and the angles 90.00°, 126.82° and 90.00°. The inequivalent atoms are Ag at (0.000, 0.000, 0.000), Te at (0.250, 0.250, 0.500) and Au at (0.000, 0.500, 0.000).

Its formation energy (no corrections) is 0.01 eV per atom. The calculation puts the offset from the most stable computed form at 0.043 eV/atom. For the magnetic moment, the calculation gives 0.0 μB/f.u. Its total DFT energy (no corrections) is -3.094 eV/atom. For the volume, the calculation gives 25.68 A^3/atom.

Entry 6:
A geometry-optimized Ag2TeAu2 structure, computed with GGA-PBE.

The structure belongs to space group I4/mmm (No. 139); the cell edges are 3.878, 3.878 and 14.492 Å and the angles 90.00°, 90.00° and 90.00°. The inequivalent atoms are Ag at (0.000, 0.000, 0.098), Te at (0.000, 0.000, 0.500) and Au at (0.000, 0.500, 0.250).

Its formation energy (no corrections) is 0.11 eV per atom. The calculation puts the offset from the most stable computed form at 0.044 eV/atom. For the magnetic moment, the calculation gives 0.0 μB/f.u. Its total DFT energy (no corrections) is -2.973 eV/atom. For the volume, the calculation gives 21.79 A^3/atom.

Entry 7:
A geometry-optimized AgTe2Au structure, computed with GGA-PBE.

The structure belongs to space group P4/mmm (No. 123); the cell edges are 5.619, 5.619 and 3.050 Å and the angles 90.00°, 90.00° and 90.00°. The inequivalent atoms are Ag at (0.000, 0.000, 0.000), Te at (0.000, 0.500, 0.500) and Au at (0.500, 0.500, 0.000).

Its formation energy (no corrections) is 0.24 eV per atom. The calculation puts the offset from the most stable computed form at 0.271 eV/atom. For the magnetic moment, the calculation gives 0.0 μB/f.u. Its total DFT energy (no corrections) is -2.866 eV/atom. For the volume, the calculation gives 24.08 A^3/atom.

Entry 8:
A geometry-optimized AgTeAu3 structure, computed with GGA-PBE.

The structure belongs to space group Pm-3m (No. 221); the cell edges are 5.277, 5.277 and 5.277 Å and the angles 90.00°, 90.00° and 90.00°. The inequivalent atoms are Ag at (0.000, 0.000, 0.000), Te at (0.500, 0.500, 0.500) and Au at (0.000, 0.500, 0.500).

Its formation energy (no corrections) is 0.65 eV per atom. The calculation puts the offset from the most stable computed form at 0.000 eV/atom. For the magnetic moment, the calculation gives 0.0 μB/f.u. Its total DFT energy (no corrections) is -2.518 eV/atom. For the volume, the calculation gives 29.38 A^3/atom.